(1)
A plane-wave DFT calculation with PBE-GGA was carried out for an optimized crystal structure of MnCoAsIr.

Cell lengths 4.2675, 4.2675, 4.2675 Å; angles 60.00, 60.00, 60.00 degrees
With the nearest neighbours (Å) after each atom.
Fractional coordinates of all 4 atoms:
Mn 0.0000 0.0000 0.0000  4 Co 2.61, 4 Ir 2.61
Co 0.7500 0.7500 0.7500  4 As 2.61, 4 Mn 2.61
As 0.5000 0.5000 0.5000  4 Co 2.61, 4 Ir 2.61
Ir 0.2500 0.2500 0.2500  4 Mn 2.61, 4 As 2.61

crystal system	cubic
N(E_F)	1.48	states/eV/cell
total DFT energy (no corrections)	-7.476	eV/atom



(2)
A plane-wave DFT calculation with PBE-GGA was carried out for an optimized crystal structure of NaCoAs2Ir.

Cell lengths 6.7792, 6.7792, 6.7792 Å; angles 146.54, 146.54, 48.04 degrees
With the nearest neighbours (Å) after each atom.
Fractional coordinates of all 5 atoms:
Na 0.0000 0.0000 0.0000  8 As 3.23
Co 0.7500 0.2500 0.5000  4 As 2.41
As 0.3639 0.3639 0.0000  2 Co 2.41, 2 Ir 2.41
As 0.6361 0.6361 0.0000  2 Co 2.41, 2 Ir 2.41
Ir 0.2500 0.7500 0.5000  4 As 2.41

crystal system	tetragonal
N(E_F)	1.75	states/eV/cell
total DFT energy (no corrections)	-5.665	eV/atom



(3)
A plane-wave DFT calculation with PBE-GGA was carried out for an optimized crystal structure of Nd2CoAs4Ir3.

Cell lengths 4.3086, 4.3086, 9.9125 Å; angles 90.00, 90.00, 90.00 degrees
With the nearest neighbours (Å) after each atom.
Fractional coordinates of all 10 atoms:
Nd 0.0000 0.5000 0.2494  8 As 3.27-3.29, 2 Co 3.28, 6 Ir 3.28-3.30
Nd 0.5000 0.0000 0.7506  8 As 3.27-3.29, 2 Co 3.28, 6 Ir 3.28-3.30
Co 0.5000 0.5000 0.0000  4 As 2.50
As 0.0000 0.0000 0.5000  4 Ir 2.47
As 0.0000 0.5000 0.8713  3 Ir 2.46-2.50, 2 Co 2.50
As 0.5000 0.0000 0.1287  3 Ir 2.46-2.50, 2 Co 2.50
As 0.5000 0.5000 0.5000  4 Ir 2.47
Ir 0.0000 0.0000 0.0000  4 As 2.50
Ir 0.0000 0.5000 0.6227  5 As 2.46-2.47
Ir 0.5000 0.0000 0.3773  5 As 2.46-2.47

crystal system	tetragonal
N(E_F)	4.83	states/eV/cell
total DFT energy (no corrections)	-6.906	eV/atom